## CsGeTe (PBE)

Data for a geometry-optimized CsGeTe structure. Values from VASP.

Results
Volume ... 516.9 Å³/cell
Uncorrected formation energy ... -0.4205 eV/atom
VASP energy ... -9.874 eV per formula unit
N(E_F) ... 0.6 states/eV/f.u.
Total magnetic moment ... 0.0 μB per formula unit
Distance to the lowest polymorph of the same formula ... 0.047 eV/atom

The structure in Quantum ESPRESSO input format:
```
&SYSTEM
  ibrav = 0, nat = 12, ntyp = 3
/
ATOMIC_SPECIES
Ge 72.64 Ge.upf
Te 127.60 Te.upf
Cs 132.91 Cs.upf
CELL_PARAMETERS angstrom
-2.140 -8.165 2.519
5.908 -0.032 4.915
-3.760 2.861 6.078
ATOMIC_POSITIONS angstrom
Ge 1.183 -2.424 6.458
Ge 2.879 -7.333 7.390
Ge -1.175 -2.912 7.054
Ge -2.871 1.997 6.122
Te 2.898 -4.452 6.653
Te 2.566 0.044 5.544
Te -2.890 -0.884 6.858
Te -2.558 -5.380 7.967
Cs -0.995 -1.048 3.490
Cs -0.075 -5.720 4.531
Cs 1.003 -4.288 10.021
Cs 0.083 0.384 8.981
```